Record 1
# LiMgBr2

Crystalline LiMgBr2 at its relaxed geometry (GGA-PBE, Alexandria). Values from VASP.

Properties
Energy above the lowest structure with this stoichiometry, eV/atom: 0.059
Electronic total energy, Ha/atom: -0.097
D(E_F), states/eV per atom: 0.176
Formation energy (no corrections), eV/atom: -0.939
Symmetry: R-3m (166)

Cell and atoms, written as Quantum ESPRESSO input:
```
&SYSTEM
  ibrav = 0, nat = 12, ntyp = 3
/
ATOMIC_SPECIES
Li 6.94 Li.upf
Mg 24.30 Mg.upf
Br 79.90 Br.upf
CELL_PARAMETERS angstrom
3.801 0.000 0.000
-1.900 3.291 0.000
0.000 0.000 34.238
ATOMIC_POSITIONS crystal
Li 0.000 0.000 0.000
Li 0.333 0.667 0.667
Li 0.667 0.333 0.333
Mg 0.000 0.000 0.500
Mg 0.333 0.667 0.167
Mg 0.667 0.333 0.833
Br 0.000 0.000 0.122
Br 0.000 0.000 0.878
Br 0.333 0.667 0.545
Br 0.333 0.667 0.788
Br 0.667 0.333 0.212
Br 0.667 0.333 0.455
```

=====

Record 2
# LiMgBr2

Crystalline LiMgBr2 at its relaxed geometry (GGA-PBE, Alexandria). Values from VASP.

Properties
Energy above the lowest structure with this stoichiometry, eV/atom: 0.185
Electronic total energy, Ha/atom: -0.093
D(E_F), states/eV per atom: 0.322
Formation energy (no corrections), eV/atom: -0.812
Symmetry: P4/mmm (123)

Cell and atoms, written as Quantum ESPRESSO input:
```
&SYSTEM
  ibrav = 0, nat = 4, ntyp = 3
/
ATOMIC_SPECIES
Li 6.94 Li.upf
Mg 24.30 Mg.upf
Br 79.90 Br.upf
CELL_PARAMETERS angstrom
5.156 0.000 0.000
0.000 5.156 0.000
0.000 0.000 3.609
ATOMIC_POSITIONS crystal
Li 0.000 0.000 0.000
Mg 0.500 0.500 0.000
Br 0.000 0.500 0.500
Br 0.500 0.000 0.500
```

=====

Record 3
# LiMgBr2

Crystalline LiMgBr2 at its relaxed geometry (GGA-PBE, Alexandria). Values from VASP.

Properties
Energy above the lowest structure with this stoichiometry, eV/atom: 0.616
Electronic total energy, Ha/atom: -0.077
D(E_F), states/eV per atom: 0.750
Formation energy (no corrections), eV/atom: -0.381
Symmetry: F-43m (216)

Cell and atoms, written as Quantum ESPRESSO input:
```
&SYSTEM
  ibrav = 0, nat = 16, ntyp = 3
/
ATOMIC_SPECIES
Li 6.94 Li.upf
Mg 24.30 Mg.upf
Br 79.90 Br.upf
CELL_PARAMETERS angstrom
7.518 0.000 0.000
0.000 7.518 0.000
0.000 0.000 7.518
ATOMIC_POSITIONS crystal
Li 0.000 0.000 0.000
Li 0.000 0.500 0.500
Li 0.500 0.000 0.500
Li 0.500 0.500 0.000
Mg 0.250 0.250 0.250
Mg 0.250 0.750 0.750
Mg 0.750 0.250 0.750
Mg 0.750 0.750 0.250
Br 0.000 0.000 0.500
Br 0.000 0.500 0.000
Br 0.250 0.250 0.750
Br 0.250 0.750 0.250
Br 0.500 0.000 0.000
Br 0.500 0.500 0.500
Br 0.750 0.250 0.250
Br 0.750 0.750 0.750
```

=====

Record 4
# Li2MgMnBr6

Crystalline Li2MgMnBr6 at its relaxed geometry (GGA-PBE, Alexandria). Values from VASP.

Properties
Electronic total energy, Ha/atom: -0.136
D(E_F), states/eV per atom: 0.000
Formation energy (no corrections), eV/atom: -1.249
Symmetry: R3 (146)

Cell and atoms, written as Quantum ESPRESSO input:
```
&SYSTEM
  ibrav = 0, nat = 10, ntyp = 4
/
ATOMIC_SPECIES
Li 6.94 Li.upf
Mg 24.30 Mg.upf
Mn 54.94 Mn.upf
Br 79.90 Br.upf
CELL_PARAMETERS angstrom
3.397 1.961 6.199
-3.397 1.961 6.199
0.000 -3.923 6.199
ATOMIC_POSITIONS crystal
Li 0.000 0.000 0.000
Li 0.498 0.498 0.498
Mg 0.688 0.688 0.688
Mn 0.189 0.189 0.189
Br 0.088 0.785 0.415
Br 0.285 0.587 0.915
Br 0.415 0.088 0.785
Br 0.587 0.915 0.285
Br 0.785 0.415 0.088
Br 0.915 0.285 0.587
```

=====

Record 5
# Li2MgMoBr

Crystalline Li2MgMoBr at its relaxed geometry (GGA-PBE, Alexandria). Values from VASP.

Properties
Electronic total energy, Ha/atom: -0.099
D(E_F), states/eV per atom: 0.407
Formation energy (no corrections), eV/atom: 0.887
Symmetry: P4/mmm (123)

Cell and atoms, written as Quantum ESPRESSO input:
```
&SYSTEM
  ibrav = 0, nat = 5, ntyp = 4
/
ATOMIC_SPECIES
Li 6.94 Li.upf
Mg 24.30 Mg.upf
Mo 95.94 Mo.upf
Br 79.90 Br.upf
CELL_PARAMETERS angstrom
5.182 0.000 0.000
0.000 5.182 0.000
0.000 0.000 5.162
ATOMIC_POSITIONS crystal
Li 0.000 0.500 0.000
Li 0.500 0.000 0.000
Mg 0.000 0.000 0.000
Mo 0.000 0.000 0.500
Br 0.500 0.500 0.500
```

=====

Record 6
# Li2MgBrO4

Crystalline Li2MgBrO4 at its relaxed geometry (GGA-PBE, Alexandria). Values from VASP.

Properties
Electronic total energy, Ha/atom: -0.170
D(E_F), states/eV per atom: 0.154
Formation energy (no corrections), eV/atom: -1.261
Symmetry: C2/c (15)

Cell and atoms, written as Quantum ESPRESSO input:
```
&SYSTEM
  ibrav = 0, nat = 16, ntyp = 4
/
ATOMIC_SPECIES
Li 6.94 Li.upf
Mg 24.30 Mg.upf
Br 79.90 Br.upf
O 16.00 O.upf
CELL_PARAMETERS angstrom
4.207 -4.129 0.000
4.207 4.129 0.000
-3.858 0.000 4.893
ATOMIC_POSITIONS crystal
Li 0.000 0.000 0.000
Li 0.000 0.000 0.500
Li 0.000 0.500 0.000
Li 0.500 0.000 0.500
Mg 0.500 0.500 0.000
Mg 0.500 0.500 0.500
Br 0.000 0.500 0.500
Br 0.500 0.000 0.000
O 0.211 0.713 0.458
O 0.270 0.286 0.554
O 0.286 0.270 0.054
O 0.287 0.789 0.042
O 0.713 0.211 0.958
O 0.714 0.730 0.946
O 0.730 0.714 0.446
O 0.789 0.287 0.542
```

=====

Record 7
# LiMgPd2Br

Crystalline LiMgPd2Br at its relaxed geometry (GGA-PBE, Alexandria). Values from VASP.

Properties
Electronic total energy, Ha/atom: -0.112
D(E_F), states/eV per atom: 0.176
Formation energy (no corrections), eV/atom: 0.060
Symmetry: P4/mmm (123)

Cell and atoms, written as Quantum ESPRESSO input:
```
&SYSTEM
  ibrav = 0, nat = 5, ntyp = 4
/
ATOMIC_SPECIES
Li 6.94 Li.upf
Mg 24.30 Mg.upf
Pd 106.42 Pd.upf
Br 79.90 Br.upf
CELL_PARAMETERS angstrom
4.799 0.000 0.000
0.000 4.799 0.000
0.000 0.000 5.305
ATOMIC_POSITIONS crystal
Li 0.000 0.000 0.000
Mg 0.500 0.500 0.500
Pd 0.000 0.500 0.500
Pd 0.500 0.000 0.500
Br 0.500 0.500 0.000
```

=====

Record 8
# LiPmMgBr6

Crystalline LiPmMgBr6 at its relaxed geometry (GGA-PBE, Alexandria). Values from VASP.

Properties
Electronic total energy, Ha/atom: -0.134
D(E_F), states/eV per atom: 0.000
Formation energy (no corrections), eV/atom: -1.624
Symmetry: P-31c (163)

Cell and atoms, written as Quantum ESPRESSO input:
```
&SYSTEM
  ibrav = 0, nat = 18, ntyp = 4
/
ATOMIC_SPECIES
Li 6.94 Li.upf
Pm 145.00 Pm.upf
Mg 24.30 Mg.upf
Br 79.90 Br.upf
CELL_PARAMETERS angstrom
7.029 0.000 0.000
-3.515 6.088 0.000
0.000 0.000 12.743
ATOMIC_POSITIONS crystal
Li 0.000 0.000 0.000
Li 0.000 0.000 0.500
Pm 0.333 0.667 0.250
Pm 0.667 0.333 0.750
Mg 0.333 0.667 0.750
Mg 0.667 0.333 0.250
Br 0.020 0.351 0.627
Br 0.020 0.668 0.873
Br 0.332 0.351 0.873
Br 0.332 0.980 0.627
Br 0.351 0.020 0.127
Br 0.351 0.332 0.373
Br 0.649 0.668 0.627
Br 0.649 0.980 0.873
Br 0.668 0.020 0.373
Br 0.668 0.649 0.127
Br 0.980 0.332 0.127
Br 0.980 0.649 0.373
```